## RbLiCr2 (PBE-GGA)

Data for RbLiCr2 after structural relaxation.

The structure belongs to space group I-42d (No. 122); the cell edges are 5.528, 5.528 and 20.197 Å and the angles 90.00°, 90.00° and 90.00°. The distinct sites, in fractional coordinates, are Rb at (0.000, 0.000, 0.000), Li at (0.000, 0.000, 0.500) and Cr at (0.034, 0.750, 0.625).

The relative energy among the computed polymorphs is 0 meV/atom. The calculation puts the formation energy from the elements at 1.258 eV per atom. The total magnetic moment comes out at 10.1 μB/f.u. As for the density of states at the Fermi level: 10.21 states/eV/cell. For the volume, the calculation gives 154.3 Å³/f.u.